[1]
Density functional theory data (PBE) for crystalline La3Pd7Pb2 at its relaxed geometry.

The structure in CIF format:
```
data_La3Pd7Pb2
_chemical_formula_sum 'La6 Pd14 Pb4'
_cell_length_a 4.166
_cell_length_b 4.166
_cell_length_c 31.209
_cell_angle_alpha 90.00
_cell_angle_beta 90.00
_cell_angle_gamma 90.00
_symmetry_space_group_name_H-M 'I 4/m m m'
_symmetry_Int_Tables_number 139
_symmetry_space_group_name_Hall '-I 4 2'
loop_
_atom_site_label
_atom_site_type_symbol
_atom_site_fract_x
_atom_site_fract_y
_atom_site_fract_z
La1 La 0.000 0.000 0.000
La2 La 0.000 0.000 0.184
Pd1 Pd 0.000 0.000 0.278
Pd2 Pd 0.000 0.000 0.500
Pd3 Pd 0.000 0.500 0.069
Pb1 Pb 0.000 0.000 0.374
```

Summary:
raw total energy: -5.462 eV per atom
size of the total moment: 0.00 μB per cell
DOS at the Fermi energy: 0.43 states/eV/atom
E_form: -0.583 eV/atom


[2]
Density functional theory data (PBE) for crystalline La3PdPb2 at its relaxed geometry.

The structure in CIF format:
```
data_La3PdPb2
_chemical_formula_sum 'La12 Pd4 Pb8'
_cell_length_a 12.937
_cell_length_b 4.745
_cell_length_c 12.306
_cell_angle_alpha 90.00
_cell_angle_beta 90.00
_cell_angle_gamma 90.00
_symmetry_space_group_name_H-M 'P n m a'
_symmetry_Int_Tables_number 62
_symmetry_space_group_name_Hall '-P 2ac 2n'
loop_
_atom_site_label
_atom_site_type_symbol
_atom_site_fract_x
_atom_site_fract_y
_atom_site_fract_z
La1 La 0.054 0.250 0.130
La2 La 0.123 0.750 0.551
La3 La 0.234 0.250 0.803
Pd1 Pd 0.121 0.250 0.372
Pb1 Pb 0.002 0.750 0.307
Pb2 Pb 0.189 0.750 0.003
```

Summary:
raw total energy: -5.255 eV per atom
size of the total moment: 2.98 μB per cell
DOS at the Fermi energy: 0.71 states/eV/atom
E_form: -0.690 eV/atom